No. 1
# LiFeBr2 GGA-PBE optimized geometry
# Spin magnetization: 3.01 μB/f.u.
# Energy relative to the elements, uncorrected: -467 meV per atom
# Energy above the lowest structure with this stoichiometry: 59 meV per atom
# VASP energy: -15.59 eV per formula unit
data_LiFeBr2
_symmetry_space_group_name_H-M 'C 1 2/m 1'
_symmetry_Int_Tables_number 12
_cell_length_a 6.593
_cell_length_b 3.809
_cell_length_c 6.678
_cell_angle_alpha 90.00
_cell_angle_beta 109.27
_cell_angle_gamma 90.00
loop_
_symmetry_equiv_pos_as_xyz
'x,y,z'
'-x,-y,-z'
'-x,y,-z'
'x,-y,z'
'x+1/2,y+1/2,z'
'-x+1/2,-y+1/2,-z'
'-x+1/2,y+1/2,-z'
'x+1/2,-y+1/2,z'
loop_
_atom_site_label
_atom_site_type_symbol
_atom_site_fract_x
_atom_site_fract_y
_atom_site_fract_z
Li1 Li 0.000 0.000 0.000
Fe1 Fe 0.000 0.500 0.500
Br1 Br 0.248 0.000 0.744

---

No. 2
# BaHgSbTe2 GGA-PBE optimized geometry
# Spin magnetization: 0.00 μB/f.u.
# Energy relative to the elements, uncorrected: -256 meV per atom
# Energy above the lowest structure with this stoichiometry: 0 meV per atom
# VASP energy: -13.91 eV per formula unit
data_BaHgSbTe2
_symmetry_space_group_name_H-M 'P 4/m m m'
_symmetry_Int_Tables_number 123
_symmetry_space_group_name_Hall '-P 4 2'
_cell_length_a 5.849
_cell_length_b 5.849
_cell_length_c 5.477
_cell_angle_alpha 90.00
_cell_angle_beta 90.00
_cell_angle_gamma 90.00
loop_
_atom_site_label
_atom_site_type_symbol
_atom_site_fract_x
_atom_site_fract_y
_atom_site_fract_z
Ba1 Ba 0.000 0.000 0.000
Hg1 Hg 0.500 0.500 0.500
Sb1 Sb 0.500 0.500 0.000
Te1 Te 0.000 0.500 0.500

---

No. 3
# Dy3Ag4SnSe8 GGA-PBE optimized geometry
# Spin magnetization: 0.00 μB/f.u.
# Energy relative to the elements, uncorrected: -937 meV per atom
# VASP energy: -72.08 eV per formula unit
data_Dy3Ag4SnSe8
_symmetry_space_group_name_H-M 'R -3 m'
_symmetry_Int_Tables_number 166
_symmetry_space_group_name_Hall '-R 3 2"'
_cell_length_a 8.3202
_cell_length_b 8.3202
_cell_length_c 19.4218
_cell_angle_alpha 90.00
_cell_angle_beta 90.00
_cell_angle_gamma 120.00
loop_
_atom_site_label
_atom_site_type_symbol
_atom_site_fract_x
_atom_site_fract_y
_atom_site_fract_z
Dy1 Dy 0.0000 0.5000 0.0000
Ag1 Ag 0.0000 0.0000 0.5000
Ag2 Ag 0.0000 0.5000 0.5000
Sn1 Sn 0.0000 0.0000 0.0000
Se1 Se 0.0000 0.0000 0.2520
Se2 Se 0.0005 0.5003 0.7496

---

Number 3 is which compound?
Dy3Ag4SnSe8